[1]
A plane-wave DFT calculation with PBE was carried out for a geometry-optimized K2MnCuBr6 structure.

Summary:
Calculated volume ... 29.13 Å³ per atom
Final energy ... -0.131 Ha/atom
Symmetry ... Pmmn, No. 59
ΔE_f (raw) ... -1.0106 eV/atom
Total moment ... 0.400 μB/atom

```
K2MnCuBr6
1.0
7.487 0.000 0.000
0.000 7.486 0.000
0.000 0.000 10.395
Mn Br K Cu
2 12 4 2
direct
0.500 0.250 0.500
0.000 0.750 0.000
0.761 0.989 0.000
0.000 0.750 0.734
0.739 0.011 0.500
0.761 0.511 0.000
0.261 0.489 0.500
0.261 0.011 0.500
0.239 0.989 0.000
0.239 0.511 0.000
0.739 0.489 0.500
0.500 0.250 0.766
0.500 0.250 0.234
0.000 0.750 0.266
0.500 0.751 0.750
0.000 0.249 0.750
0.500 0.751 0.250
0.000 0.249 0.250
0.500 0.250 0.000
0.000 0.750 0.500
```

[2]
A plane-wave DFT calculation with PBE was carried out for a geometry-optimized K3MnCu2Br8 structure.

Summary:
Calculated volume ... 32.10 Å³ per atom
Final energy ... -0.126 Ha/atom
Symmetry ... P-3m1, No. 164
ΔE_f (raw) ... -0.9925 eV/atom
Total moment ... 0.285 μB/atom

```
K3MnCu2Br8
1.0
-2.584 6.084 3.417
-3.869 -3.068 -5.567
-4.571 -5.396 6.151
Br K Cu Mn
8 3 2 1
direct
0.675 0.837 0.331
0.837 0.163 0.669
0.333 0.667 0.960
0.837 0.675 0.669
0.163 0.325 0.331
0.325 0.163 0.669
0.667 0.333 0.040
0.163 0.837 0.331
0.333 0.667 0.621
0.667 0.333 0.379
0.000 0.000 0.000
0.333 0.667 0.206
0.667 0.333 0.794
0.000 0.000 0.500
```

[3]
A plane-wave DFT calculation with PBE was carried out for a geometry-optimized KCu2MoBr8 structure.

Summary:
Calculated volume ... 32.65 Å³ per atom
Final energy ... -0.126 Ha/atom
Symmetry ... P-1, No. 2
ΔE_f (raw) ... -0.6251 eV/atom
Total moment ... 0.080 μB/atom

```
KCu2MoBr8
1.0
6.549 -0.219 0.271
-0.245 7.070 1.726
0.382 2.373 9.073
Br Cu K Mo
8 2 1 1
direct
0.465 0.267 0.463
0.898 0.267 0.721
0.102 0.733 0.279
0.844 0.205 0.125
0.535 0.733 0.537
0.659 0.778 0.060
0.156 0.795 0.875
0.341 0.222 0.940
0.535 0.351 0.677
0.465 0.649 0.323
0.000 0.000 0.500
0.000 0.000 0.000
```

[4]
A plane-wave DFT calculation with PBE was carried out for a geometry-optimized KNa3Cu4Br12 structure.

Summary:
Calculated volume ... 35.97 Å³ per atom
Final energy ... -0.103 Ha/atom
Symmetry ... R32, No. 155
ΔE_f (raw) ... -0.7387 eV/atom
Total moment ... 0.083 μB/atom

```
KNa3Cu4Br12
1.0
9.169 0.198 0.275
-2.017 8.947 0.275
-2.017 -2.579 8.571
Br Na Cu K
12 3 4 1
direct
0.658 0.782 0.003
0.898 0.500 0.102
0.003 0.658 0.782
0.218 0.342 0.997
0.337 0.663 0.500
0.102 0.898 0.500
0.997 0.218 0.342
0.782 0.003 0.658
0.342 0.997 0.218
0.500 0.102 0.898
0.663 0.500 0.337
0.500 0.337 0.663
0.549 0.451 0.000
0.000 0.549 0.451
0.451 0.000 0.549
0.500 0.936 0.064
0.500 0.500 0.500
0.064 0.500 0.936
0.936 0.064 0.500
0.000 0.000 0.000
```

[5]
A plane-wave DFT calculation with PBE was carried out for a geometry-optimized K3NaCu2Br6 structure.

Summary:
Calculated volume ... 39.24 Å³ per atom
Final energy ... -0.111 Ha/atom
Symmetry ... P-3m1, No. 164
ΔE_f (raw) ... -1.1290 eV/atom
Total moment ... 0.000 μB/atom

```
K3NaCu2Br6
1.0
-4.978 1.197 -6.097
3.879 -6.920 0.673
-6.467 -3.172 4.657
Br Na Cu K
6 1 2 3
direct
0.164 0.327 0.281
0.673 0.836 0.281
0.327 0.164 0.719
0.836 0.673 0.719
0.164 0.836 0.281
0.836 0.164 0.719
0.000 0.000 0.500
0.333 0.667 0.264
0.667 0.333 0.736
0.333 0.667 0.651
0.667 0.333 0.349
0.000 0.000 0.000
```

[6]
A plane-wave DFT calculation with PBE was carried out for a geometry-optimized K2NaCuBr5 structure.

Summary:
Calculated volume ... 32.37 Å³ per atom
Final energy ... -0.109 Ha/atom
Symmetry ... Cmc2_1, No. 36
ΔE_f (raw) ... -1.1832 eV/atom
Total moment ... 0.116 μB/atom

```
K2NaCuBr5
1.0
-1.985 -2.697 -2.631
8.135 -5.439 2.885
-7.130 -5.060 10.563
Br Cu Na K
10 2 2 4
direct
0.042 0.083 0.009
0.678 0.356 0.879
0.504 0.008 0.769
0.958 0.917 0.509
0.698 0.397 0.180
0.496 0.992 0.269
0.350 0.700 0.009
0.302 0.603 0.680
0.322 0.644 0.379
0.650 0.300 0.509
0.440 0.879 0.423
0.560 0.121 0.923
0.793 0.586 0.537
0.207 0.414 0.037
0.133 0.265 0.687
0.126 0.252 0.331
0.874 0.748 0.831
0.867 0.735 0.187
```

[7]
A plane-wave DFT calculation with PBE was carried out for a geometry-optimized K2NaCu2Br6 structure.

Summary:
Calculated volume ... 33.68 Å³ per atom
Final energy ... -0.110 Ha/atom
Symmetry ... C2/m, No. 12
ΔE_f (raw) ... -1.0263 eV/atom
Total moment ... 0.096 μB/atom

```
K2NaCu2Br6
1.0
-4.913 -5.314 1.941
6.679 -2.035 -3.126
0.559 2.412 8.018
K Na Br Cu
2 1 6 2
direct
0.286 0.573 0.807
0.714 0.427 0.193
0.500 0.000 0.500
0.184 0.865 0.190
0.754 0.508 0.614
0.320 0.135 0.810
0.680 0.865 0.190
0.816 0.135 0.810
0.246 0.492 0.386
0.950 0.900 0.749
0.050 0.100 0.251
```

[8]
A plane-wave DFT calculation with PBE was carried out for a geometry-optimized K3Na3CuBr8 structure.

Summary:
Calculated volume ... 32.85 Å³ per atom
Final energy ... -0.110 Ha/atom
Symmetry ... C2/m, No. 12
ΔE_f (raw) ... -1.3359 eV/atom
Total moment ... 0.069 μB/atom

```
K3Na3CuBr8
1.0
-8.074 -2.123 -2.377
5.413 -6.127 2.937
-3.318 6.041 5.876
Br K Na Cu
8 3 3 1
direct
0.259 0.518 0.278
0.787 0.015 0.302
0.213 0.985 0.698
0.786 0.571 0.301
0.741 0.482 0.722
0.214 0.429 0.699
0.229 0.015 0.302
0.771 0.985 0.698
0.500 0.500 0.000
0.000 0.500 0.000
0.000 0.000 0.000
0.500 0.000 0.500
0.000 0.500 0.500
0.500 0.500 0.500
0.000 0.000 0.500
```

[9]
A plane-wave DFT calculation with PBE was carried out for a geometry-optimized K2NdCuBr6 structure.

Summary:
Calculated volume ... 34.19 Å³ per atom
Final energy ... -0.130 Ha/atom
Symmetry ... Fm-3m, No. 225
Energy above the lowest structure with this stoichiometry ... 0.046 eV per atom
ΔE_f (raw) ... -1.4288 eV/atom
Total moment ... 0.000 μB/atom

```
K2NdCuBr6
1.0
0.000 5.550 5.550
5.550 0.000 5.550
5.550 5.550 0.000
Br K Cu Nd
6 2 1 1
direct
0.241 0.759 0.759
0.759 0.759 0.241
0.241 0.759 0.241
0.759 0.241 0.759
0.759 0.241 0.241
0.241 0.241 0.759
0.750 0.750 0.750
0.250 0.250 0.250
0.000 0.000 0.000
0.500 0.500 0.500
```

[10]
A plane-wave DFT calculation with PBE was carried out for a geometry-optimized K2NdCuBr6 structure.

Summary:
Calculated volume ... 35.03 Å³ per atom
Final energy ... -0.132 Ha/atom
Symmetry ... P2_1/c, No. 14
Energy above the lowest structure with this stoichiometry ... 0.000 eV per atom
ΔE_f (raw) ... -1.4746 eV/atom
Total moment ... 0.007 μB/atom

```
K2NdCuBr6
1.0
8.020 0.000 0.014
0.000 8.776 0.000
0.096 0.000 9.955
Br K Cu Nd
12 4 2 2
direct
0.604 0.034 0.284
0.302 0.666 0.446
0.802 0.834 0.946
0.396 0.966 0.716
0.832 0.786 0.550
0.668 0.286 0.950
0.168 0.214 0.450
0.332 0.714 0.050
0.698 0.334 0.554
0.896 0.534 0.216
0.198 0.166 0.054
0.104 0.466 0.784
0.478 0.410 0.247
0.978 0.090 0.747
0.522 0.590 0.753
0.022 0.910 0.253
0.000 0.500 0.000
0.500 0.000 0.500
0.500 0.000 0.000
0.000 0.500 0.500
```

[11]
A plane-wave DFT calculation with PBE was carried out for a geometry-optimized K3Cu2NiBr8 structure.

Summary:
Calculated volume ... 30.86 Å³ per atom
Final energy ... -0.113 Ha/atom
Symmetry ... P-3m1, No. 164
ΔE_f (raw) ... -0.8874 eV/atom
Total moment ... 0.072 μB/atom

```
K3Cu2NiBr8
1.0
7.326 0.000 0.000
-3.663 6.345 0.000
0.000 0.000 9.293
Br K Ni Cu
8 3 1 2
direct
0.159 0.841 0.334
0.841 0.159 0.666
0.318 0.159 0.666
0.159 0.318 0.334
0.682 0.841 0.334
0.841 0.682 0.666
0.333 0.667 0.967
0.667 0.333 0.033
0.667 0.333 0.376
0.333 0.667 0.624
0.000 0.000 0.000
0.000 0.000 0.500
0.333 0.667 0.215
0.667 0.333 0.785
```

[12]
A plane-wave DFT calculation with PBE was carried out for a geometry-optimized KCu2NiBr structure.

Summary:
Calculated volume ... 23.43 Å³ per atom
Final energy ... -0.095 Ha/atom
Symmetry ... P4/mmm, No. 123
ΔE_f (raw) ... 0.7557 eV/atom
Total moment ... 0.000 μB/atom

```
KCu2NiBr
1.0
5.058 0.000 0.000
0.000 4.579 0.000
0.000 0.000 5.058
Br Ni K Cu
1 1 1 2
direct
0.000 0.000 0.000
0.000 0.500 0.000
0.500 0.500 0.500
0.000 0.000 0.500
0.500 0.000 0.000
```